(1)
CsKAl3, relaxed, DFT GGA-PBEsol; energy of formation = 1.18 eV/atom; DOS at the Fermi energy = 1.2487 states/eV/atom
1.0
6.029 0.000 0.000
0.000 6.029 0.000
0.000 0.000 6.029
Cs K Al
1 1 3
direct
0.000 0.000 0.000
0.500 0.500 0.500
0.000 0.500 0.500
0.500 0.000 0.500
0.500 0.500 0.000

(2)
Cs6K3AlSb4, relaxed, DFT GGA-PBEsol; E_form (uncorrected) = -0.459 eV/atom
1.0
10.920 0.000 0.000
-5.460 9.457 0.000
0.000 0.000 11.404
Cs K Al Sb
12 6 2 8
direct
0.209 0.418 0.043
0.209 0.418 0.457
0.209 0.791 0.043
0.209 0.791 0.457
0.418 0.209 0.543
0.418 0.209 0.957
0.582 0.791 0.043
0.582 0.791 0.457
0.791 0.209 0.543
0.791 0.209 0.957
0.791 0.582 0.543
0.791 0.582 0.957
0.119 0.239 0.750
0.119 0.881 0.750
0.239 0.119 0.250
0.761 0.881 0.750
0.881 0.119 0.250
0.881 0.761 0.250
0.333 0.667 0.750
0.667 0.333 0.250
0.000 0.000 0.000
0.000 0.000 0.500
0.053 0.526 0.750
0.474 0.526 0.750
0.474 0.947 0.750
0.526 0.053 0.250
0.526 0.474 0.250
0.947 0.474 0.250

(3)
CsLa2Al, relaxed, DFT GGA-PBEsol; energy of formation = 0.22 eV/atom; DOS at the Fermi energy = 1.1708 states/eV/atom
1.0
7.859 0.000 0.000
0.000 7.859 0.000
0.000 0.000 7.859
Cs La Al
4 8 4
direct
0.000 0.000 0.000
0.000 0.500 0.500
0.500 0.000 0.500
0.500 0.500 0.000
0.250 0.250 0.250
0.250 0.250 0.750
0.250 0.750 0.250
0.250 0.750 0.750
0.750 0.250 0.250
0.750 0.250 0.750
0.750 0.750 0.250
0.750 0.750 0.750
0.000 0.000 0.500
0.000 0.500 0.000
0.500 0.000 0.000
0.500 0.500 0.500

| no. | uncorrected energy (eV per atom) |
| --- | --- |
| 1 | -1.6929 |
| 2 | -2.7001 |
| 3 | -3.7111 |